Computed, not measured: an optimized crystal structure of NiRuSe2N at the PBE level of DFT.

Structure (POSCAR):
```
NiRuSe2N
1.0
-0.595 0.455 -4.956
-4.924 -0.778 0.520
-0.519 3.543 0.388
Ru N Se Ni
1 1 2 1
direct
0.000 0.000 0.000 Ru
0.000 0.000 0.500 N
0.000 0.500 0.000 Se
0.500 0.000 0.000 Se
0.500 0.500 0.500 Ni
```

Computed properties:
Fermi-level density of states = 4.860 states/eV/f.u.
Symmetry = P4/mmm
Relative energy among the computed polymorphs = 0.000 eV per atom
Raw total energy = -26.910 eV for the cell shown